Arrangement A

LiHfGaAu | PBE | relaxed

Values from the calculation:
**SG**: F-43m
**M_tot**: 0.000 μB per formula unit

Cell: 4.5630 4.5630 4.5630 Å, 60.00 60.00 60.00°
Closest atoms and distances in Å follow each position.
Fractional coordinates of all 4 atoms:
Au 0.2500 0.2500 0.2500  4 Hf 2.79, 4 Ga 2.79
Ga 0.0000 0.0000 0.0000  4 Au 2.79, 4 Li 2.79
Hf 0.5000 0.5000 0.5000  4 Au 2.79, 4 Li 2.79
Li 0.7500 0.7500 0.7500  4 Hf 2.79, 4 Ga 2.79

***

Arrangement B

LiHfGaAu | PBE | relaxed

Values from the calculation:
**SG**: F-43m
**M_tot**: 0.581 μB per formula unit

Cell: 4.5344 4.5344 4.5344 Å, 60.00 60.00 60.00°
Closest atoms and distances in Å follow each position.
Fractional coordinates of all 4 atoms:
Au 0.0000 0.0000 0.0000  4 Li 2.78, 4 Ga 2.78
Ga 0.2500 0.2500 0.2500  4 Hf 2.78, 4 Au 2.78
Hf 0.5000 0.5000 0.5000  4 Ga 2.78, 4 Li 2.78
Li 0.7500 0.7500 0.7500  4 Hf 2.78, 4 Au 2.78

***

Arrangement C

LiHfGaAu | PBE | relaxed

Values from the calculation:
**SG**: F-43m
**M_tot**: 0.000 μB per formula unit

Cell: 4.6058 4.6058 4.6058 Å, 60.00 60.00 60.00°
Closest atoms and distances in Å follow each position.
Fractional coordinates of all 4 atoms:
Au 0.0000 0.0000 0.0000  4 Hf 2.82, 4 Li 2.82
Ga 0.5000 0.5000 0.5000  4 Li 2.82, 4 Hf 2.82
Hf 0.2500 0.2500 0.2500  4 Au 2.82, 4 Ga 2.82
Li 0.7500 0.7500 0.7500  4 Ga 2.82, 4 Au 2.82

***

Which structure wins on stability? arrangement C wins.

***

Arrangement A

NdHfGa2Au2 | PBE | relaxed

Values from the calculation:
**SG**: P-6m2
**M_tot**: 0.023 μB per formula unit

Cell: 4.4189 4.4189 7.3676 Å, 90.00 90.00 120.00°
Closest atoms and distances in Å follow each position.
Fractional coordinates of all 6 atoms:
Au 0.6667 0.3333 0.1942  3 Ga 2.59, 1 Au 2.86
Au 0.6667 0.3333 0.8058  3 Ga 2.59, 1 Au 2.86
Ga 0.3333 0.6667 0.2536  3 Au 2.59
Ga 0.3333 0.6667 0.7464  3 Au 2.59
Hf 0.0000 0.0000 0.0000  6 Au 2.93, 6 Ga 3.16
Nd 0.0000 0.0000 0.5000  6 Ga 3.13, 6 Au 3.40

***

Arrangement B

NdHfGa2Au2 | PBE | relaxed

Values from the calculation:
**SG**: P-6m2
**M_tot**: 0.009 μB per formula unit

Cell: 4.5081 4.5081 6.9911 Å, 90.00 90.00 120.00°
Closest atoms and distances in Å follow each position.
Fractional coordinates of all 6 atoms:
Au 0.6667 0.3333 0.2775  3 Ga 2.61
Au 0.6667 0.3333 0.7225  3 Ga 2.61
Ga 0.3333 0.6667 0.2987  3 Au 2.61, 1 Ga 2.81
Ga 0.3333 0.6667 0.7013  3 Au 2.61, 1 Ga 2.81
Hf 0.0000 0.0000 0.5000  6 Ga 2.96, 6 Au 3.03
Nd 0.0000 0.0000 0.0000  6 Au 3.25, 6 Ga 3.34, 2 Hf 3.50

***

Which structure wins on stability? arrangement B wins.

***

Arrangement A

KGaPbAu | PBE | relaxed

Values from the calculation:
**SG**: Cmm2

Cell: 9.6187 9.6187 4.6345 Å, 90.00 90.00 146.15°
Closest atoms and distances in Å follow each position.
Fractional coordinates of all 8 atoms:
Au 0.7577 0.2423 0.2456  2 Ga 2.55, 2 Au 2.81
Au 0.2423 0.7577 0.2456  2 Ga 2.55, 2 Au 2.81
Ga 0.6995 0.3005 0.7460  2 Au 2.55
Ga 0.3005 0.6995 0.7460  2 Au 2.55
K 0.9032 0.0968 0.7544  3 Ga 3.38-3.75, 2 Au 3.51-3.57, 1 K 3.56, 4 Pb 3.64
K 0.0968 0.9032 0.7544  3 Ga 3.38-3.75, 2 Au 3.51-3.57, 1 K 3.56, 4 Pb 3.64
Pb 0.5841 0.4159 0.2540  1 Pb 3.09, 2 Ga 3.12-3.17, 1 Au 3.20
Pb 0.4159 0.5841 0.2540  1 Pb 3.09, 2 Ga 3.12-3.17, 1 Au 3.20

***

Arrangement B

KGaPbAu | PBE | relaxed

Values from the calculation:
**SG**: Amm2

Cell: 12.1612 9.6291 9.6291 Å, 30.27 90.00 90.00°
Closest atoms and distances in Å follow each position.
Fractional coordinates of all 8 atoms:
Au 0.0000 0.2126 0.2126  2 Au 2.82, 2 Pb 2.84
Au 0.0000 0.7811 0.7811  2 Ga 2.59, 2 Au 2.82
Ga 0.2132 0.7861 0.7861  1 Au 2.59, 2 Pb 2.81
Ga 0.7868 0.7861 0.7861  1 Au 2.59, 2 Pb 2.81
K 0.0000 0.3863 0.3863  3 Au 3.19-3.23
K 0.0000 0.6069 0.6069  3 Au 3.19-3.24
Pb 0.2335 0.2205 0.2205  2 Ga 2.81, 1 Au 2.84
Pb 0.7665 0.2205 0.2205  2 Ga 2.81, 1 Au 2.84

***

Which structure wins on stability? arrangement A wins.

***

Arrangement A

GaAuNO | PBE | relaxed

Values from the calculation:
**SG**: Pmc2_1

Cell: 3.2770 5.2175 6.3768 Å, 90.00 90.00 90.00°
Closest atoms and distances in Å follow each position.
Fractional coordinates of all 8 atoms:
Au 0.0000 0.5507 0.4402  2 N 2.03-2.10
Au 0.0000 0.0507 0.5598  2 N 2.03-2.10
Ga 0.5000 0.9867 0.1280  2 O 1.85-1.86, 2 N 1.94
Ga 0.5000 0.4867 0.8720  2 O 1.85-1.86, 2 N 1.94
N 0.0000 0.8742 0.2635  2 Ga 1.94, 2 Au 2.03-2.10
N 0.0000 0.3742 0.7365  2 Ga 1.94, 2 Au 2.03-2.10
O 0.5000 0.3425 0.1377  2 Ga 1.85-1.86
O 0.5000 0.8425 0.8623  2 Ga 1.85-1.86

***

Arrangement B

GaAuNO | PBE | relaxed

Values from the calculation:
**SG**: P4/nmm

Cell: 3.8616 3.8616 7.7864 Å, 90.00 90.00 89.99°
Closest atoms and distances in Å follow each position.
Fractional coordinates of all 8 atoms:
Au 0.7500 0.2500 0.5000  4 N 2.30
Au 0.2500 0.7500 0.5000  4 N 2.30
Ga 0.7500 0.7500 0.0969  1 N 1.89, 4 O 2.07
Ga 0.2500 0.2500 0.9031  1 N 1.89, 4 O 2.07
N 0.7500 0.7500 0.3401  1 Ga 1.89
N 0.2500 0.2500 0.6599  1 Ga 1.89
O 0.7500 0.2500 0.0000  4 Ga 2.07
O 0.2500 0.7500 0.0000  4 Ga 2.07

***

Which structure wins on stability? arrangement A wins.

***

Arrangement A

GaAuNO | PBE | relaxed

Values from the calculation:
**SG**: P4/nmm

Cell: 4.2200 4.2200 5.9943 Å, 90.00 90.00 90.00°
Closest atoms and distances in Å follow each position.
Fractional coordinates of all 8 atoms:
Au 0.7500 0.2500 0.5000  4 N 2.16
Au 0.2500 0.7500 0.5000  4 N 2.16
Ga 0.7500 0.7500 0.0936  1 N 1.98, 4 O 2.18
Ga 0.2500 0.2500 0.9064  1 N 1.98, 4 O 2.18
N 0.7500 0.7500 0.4243  1 Ga 1.98, 4 Au 2.16
N 0.2500 0.2500 0.5757  1 Ga 1.98, 4 Au 2.16
O 0.7500 0.2500 0.0000  4 Ga 2.18
O 0.2500 0.7500 0.0000  4 Ga 2.18

***

Arrangement B

GaAuNO | PBE | relaxed

Values from the calculation:
**SG**: P4/nmm

Cell: 4.0747 4.0747 6.3686 Å, 90.00 90.00 90.00°
Closest atoms and distances in Å follow each position.
Fractional coordinates of all 8 atoms:
Au 0.2500 0.2500 0.1215  4 O 2.18
Au 0.7500 0.7500 0.8785  4 O 2.18
Ga 0.7500 0.2500 0.5000  4 N 2.05
Ga 0.2500 0.7500 0.5000  4 N 2.05
N 0.7500 0.7500 0.4629  4 Ga 2.05
N 0.2500 0.2500 0.5371  4 Ga 2.05
O 0.7500 0.2500 0.0000  4 Au 2.18
O 0.2500 0.7500 0.0000  4 Au 2.18

***

Which structure wins on stability? arrangement A wins.

***

Arrangement A

NdGa2PtAu | PBE | relaxed

Values from the calculation:
**SG**: P4/nmm
**M_tot**: 0.005 μB per formula unit

Cell: 4.3085 4.3085 10.7675 Å, 90.00 90.00 90.00°
Closest atoms and distances in Å follow each position.
Fractional coordinates of all 10 atoms:
Au 0.0000 0.5000 0.3588  5 Ga 2.53-2.64
Au 0.5000 0.0000 0.6412  5 Ga 2.53-2.64
Ga 0.0000 0.5000 0.1242  1 Au 2.53, 4 Pt 2.54
Ga 0.0000 0.0000 0.5000  4 Au 2.64
Ga 0.5000 0.5000 0.5000  4 Au 2.64
Ga 0.5000 0.0000 0.8758  1 Au 2.53, 4 Pt 2.54
Nd 0.5000 0.0000 0.2453  4 Au 3.28, 8 Ga 3.31-3.49, 4 Pt 3.41
Nd 0.0000 0.5000 0.7547  4 Au 3.28, 8 Ga 3.31-3.49, 4 Pt 3.41
Pt 0.0000 0.0000 0.0000  4 Ga 2.54
Pt 0.5000 0.5000 0.0000  4 Ga 2.54

***

Arrangement B

NdGa2PtAu | PBE | relaxed

Values from the calculation:
**SG**: P4/nmm
**M_tot**: 0.011 μB per formula unit

Cell: 4.3672 4.3672 10.4938 Å, 90.00 90.00 90.00°
Closest atoms and distances in Å follow each position.
Fractional coordinates of all 10 atoms:
Au 0.0000 0.0000 0.0000  4 Ga 2.64
Au 0.5000 0.5000 0.0000  4 Ga 2.64
Ga 0.5000 0.0000 0.1418  1 Pt 2.44, 4 Au 2.64
Ga 0.0000 0.0000 0.5000  4 Pt 2.55
Ga 0.5000 0.5000 0.5000  4 Pt 2.55
Ga 0.0000 0.5000 0.8582  1 Pt 2.44, 4 Au 2.64
Nd 0.0000 0.5000 0.2601  4 Pt 3.31, 8 Ga 3.33, 4 Au 3.50
Nd 0.5000 0.0000 0.7399  4 Pt 3.31, 8 Ga 3.33, 4 Au 3.50
Pt 0.5000 0.0000 0.3745  5 Ga 2.44-2.55
Pt 0.0000 0.5000 0.6255  5 Ga 2.44-2.55

***

Which structure wins on stability? arrangement B wins.

***

Arrangement A

NdZrGa2Au2 | PBE | relaxed

Values from the calculation:
**SG**: P-6m2
**M_tot**: 0.018 μB per formula unit

Cell: 4.5192 4.5192 7.0432 Å, 90.00 90.00 120.00°
Closest atoms and distances in Å follow each position.
Fractional coordinates of all 6 atoms:
Au 0.6667 0.3333 0.2745  3 Ga 2.61
Au 0.6667 0.3333 0.7255  3 Ga 2.61
Ga 0.3333 0.6667 0.2976  3 Au 2.61, 1 Ga 2.85
Ga 0.3333 0.6667 0.7024  3 Au 2.61, 1 Ga 2.85
Nd 0.0000 0.0000 0.0000  6 Au 3.25, 6 Ga 3.35, 2 Zr 3.52
Zr 0.0000 0.0000 0.5000  6 Ga 2.97, 6 Au 3.05

***

Arrangement B

NdZrGa2Au2 | PBE | relaxed

Values from the calculation:
**SG**: P-6m2
**M_tot**: 0.345 μB per formula unit

Cell: 4.4639 4.4639 7.2850 Å, 90.00 90.00 120.00°
Closest atoms and distances in Å follow each position.
Fractional coordinates of all 6 atoms:
Au 0.6667 0.3333 0.3005  3 Ga 2.61, 1 Au 2.91
Au 0.6667 0.3333 0.6995  3 Ga 2.61, 1 Au 2.91
Ga 0.3333 0.6667 0.2481  3 Au 2.61
Ga 0.3333 0.6667 0.7519  3 Au 2.61
Nd 0.0000 0.0000 0.0000  6 Ga 3.15, 6 Au 3.38
Zr 0.0000 0.0000 0.5000  6 Au 2.96, 6 Ga 3.16

***

Which structure wins on stability? arrangement A wins.

***

Arrangement A

Ga2Au2O5 | PBE | relaxed

Values from the calculation:
**SG**: P4/mmm

Cell: 7.8917 3.7002 3.7002 Å, 90.00 90.00 90.00°
Closest atoms and distances in Å follow each position.
Fractional coordinates of all 9 atoms:
Au 0.0000 0.0000 0.0000  8 O 2.32
Au 0.5000 0.0000 0.0000  4 O 2.62
Ga 0.2603 0.5000 0.5000  5 O 1.89-1.96
Ga 0.7397 0.5000 0.5000  5 O 1.89-1.96
O 0.1782 0.5000 0.0000  2 Ga 1.96
O 0.8218 0.5000 0.0000  2 Ga 1.96
O 0.1782 0.0000 0.5000  2 Ga 1.96
O 0.8218 0.0000 0.5000  2 Ga 1.96
O 0.5000 0.5000 0.5000  2 Ga 1.89

***

Arrangement B

Ga2Au2O5 | PBE | relaxed

Values from the calculation:
**SG**: P4/mmm

Cell: 6.8518 4.0753 4.0753 Å, 90.00 90.00 90.00°
Closest atoms and distances in Å follow each position.
Fractional coordinates of all 9 atoms:
Au 0.1973 0.5000 0.5000  5 O 2.07
Au 0.8027 0.5000 0.5000  5 O 2.07
Ga 0.0000 0.0000 0.0000  8 O 2.65
Ga 0.5000 0.0000 0.0000  12 O 2.67-2.88
O 0.2484 0.5000 0.0000  2 Au 2.07
O 0.7516 0.5000 0.0000  2 Au 2.07
O 0.2484 0.0000 0.5000  2 Au 2.07
O 0.7516 0.0000 0.5000  2 Au 2.07
O 0.5000 0.5000 0.5000  2 Au 2.07

***

Which structure wins on stability? arrangement A wins.

***

Arrangement A

GaAuSO | PBE | relaxed

Values from the calculation:
**SG**: Pmc2_1

Cell: 3.6106 6.7844 5.8423 Å, 90.00 90.00 90.00°
Closest atoms and distances in Å follow each position.
Fractional coordinates of all 8 atoms:
Au 0.0000 0.3179 0.0598  2 S 2.40-2.50, 2 O 2.56
Au 0.0000 0.6821 0.5598  2 S 2.40-2.50, 2 O 2.56
Ga 0.5000 0.8730 0.0497  2 O 1.86
Ga 0.5000 0.1270 0.5497  2 O 1.86
O 0.5000 0.0966 0.2331  2 Ga 1.86
O 0.5000 0.9034 0.7331  2 Ga 1.86
S 0.0000 0.6777 0.1483  2 Ga 2.31, 2 Au 2.40-2.50
S 0.0000 0.3223 0.6483  2 Ga 2.31, 2 Au 2.40-2.50

***

Arrangement B

GaAuSO | PBE | relaxed

Values from the calculation:
**SG**: Pbcm

Cell: 6.8012 7.9933 5.8176 Å, 90.00 90.00 90.00°
Closest atoms and distances in Å follow each position.
Fractional coordinates of all 16 atoms:
Au 0.3956 0.1169 0.1250  1 O 2.09, 1 S 2.31
Au 0.8956 0.8831 0.1250  1 O 2.09, 1 S 2.31
Au 0.1044 0.1169 0.6250  1 O 2.09, 1 S 2.31
Au 0.6044 0.8831 0.6250  1 O 2.09, 1 S 2.31
Ga 0.7500 0.2588 0.3750  2 O 1.89
Ga 0.2500 0.7412 0.3750  2 O 1.89
Ga 0.7500 0.2588 0.8750  2 O 1.89
Ga 0.2500 0.7412 0.8750  2 O 1.89
O 0.8630 0.1434 0.1250  2 Ga 1.89, 1 Au 2.09
O 0.3630 0.8566 0.1250  2 Ga 1.89, 1 Au 2.09
O 0.6370 0.1434 0.6250  2 Ga 1.89, 1 Au 2.09
O 0.1370 0.8566 0.6250  2 Ga 1.89, 1 Au 2.09
S 0.5236 0.3850 0.1250  1 Au 2.31, 2 Ga 2.35
S 0.0236 0.6150 0.1250  1 Au 2.31, 2 Ga 2.35
S 0.9764 0.3850 0.6250  1 Au 2.31, 2 Ga 2.35
S 0.4764 0.6150 0.6250  1 Au 2.31, 2 Ga 2.35

***

Which structure wins on stability? arrangement B wins.

***

Arrangement A

GaAuSO | PBE | relaxed

Values from the calculation:
**SG**: P4/nmm

Cell: 3.7468 3.7468 8.9634 Å, 90.00 90.00 90.00°
Closest atoms and distances in Å follow each position.
Fractional coordinates of all 8 atoms:
Au 0.7500 0.2500 0.5000  4 Au 2.65, 4 S 2.72
Au 0.2500 0.7500 0.5000  4 Au 2.65, 4 S 2.72
Ga 0.2500 0.2500 0.0959  4 O 2.06
Ga 0.7500 0.7500 0.9041  4 O 2.06
O 0.7500 0.2500 0.0000  4 Ga 2.06
O 0.2500 0.7500 0.0000  4 Ga 2.06
S 0.7500 0.7500 0.2802  4 Au 2.72
S 0.2500 0.2500 0.7198  4 Au 2.72

***

Arrangement B

GaAuSO | PBE | relaxed

Values from the calculation:
**SG**: P2_1/c

Cell: 7.1412 6.9036 5.5816 Å, 90.00 103.45 90.00°
Closest atoms and distances in Å follow each position.
Fractional coordinates of all 16 atoms:
Au 0.1148 0.7572 0.1473  2 S 2.42-2.43
Au 0.8852 0.2572 0.3527  2 S 2.42-2.43
Au 0.1148 0.7428 0.6473  2 S 2.42-2.43
Au 0.8852 0.2428 0.8527  2 S 2.42-2.43
Ga 0.4765 0.5967 0.2310  3 O 1.93-1.97
Ga 0.5235 0.0967 0.2690  3 O 1.93-1.97
Ga 0.4765 0.9033 0.7310  3 O 1.93-1.97
Ga 0.5235 0.4033 0.7690  3 O 1.93-1.97
O 0.4768 0.3368 0.0862  3 Ga 1.93-1.97
O 0.5232 0.8368 0.4138  3 Ga 1.93-1.97
O 0.4768 0.1632 0.5862  3 Ga 1.93-1.97
O 0.5232 0.6632 0.9138  3 Ga 1.93-1.97
S 0.7909 0.9787 0.0880  2 Au 2.42-2.43, 2 Ga 2.50-2.68
S 0.2091 0.4787 0.4120  2 Au 2.42-2.43, 2 Ga 2.50-2.68
S 0.7909 0.5213 0.5880  2 Au 2.42-2.43, 2 Ga 2.50-2.68
S 0.2091 0.0213 0.9120  2 Au 2.42-2.43, 2 Ga 2.50-2.68

***

Arrangement C

GaAuSO | PBE | relaxed

Values from the calculation:
**SG**: P2_1

Cell: 5.7902 5.2823 10.0332 Å, 90.00 80.64 90.00°
Closest atoms and distances in Å follow each position.
Fractional coordinates of all 16 atoms:
Au 0.0067 0.3678 0.2854  2 S 2.30-2.32
Au 0.3653 0.1952 0.4978  2 S 2.31-2.36
Au 0.6347 0.6952 0.5022  2 S 2.31-2.36
Au 0.9933 0.8678 0.7146  2 S 2.30-2.32
Ga 0.8742 0.8046 0.0658  3 O 1.85-1.91
Ga 0.5590 0.3176 0.0984  3 O 1.92-2.02
Ga 0.4410 0.8176 0.9016  3 O 1.92-2.02
Ga 0.1258 0.3046 0.9342  3 O 1.85-1.91
O 0.3551 0.5005 0.0004  3 Ga 1.89-1.97
O 0.1510 0.9753 0.0085  3 Ga 1.85-2.02
O 0.8490 0.4753 0.9915  3 Ga 1.85-2.02
O 0.6449 0.0005 0.9996  3 Ga 1.89-1.97
S 0.6955 0.6360 0.2661  1 Ga 2.29, 2 Au 2.32-2.36
S 0.3231 0.1030 0.2780  2 Au 2.30-2.31, 1 Ga 2.37
S 0.6769 0.6030 0.7220  2 Au 2.30-2.31, 1 Ga 2.37
S 0.3045 0.1360 0.7339  1 Ga 2.29, 2 Au 2.32-2.36

***

Which structure wins on stability? arrangement C wins.

***

Arrangement A

GaTeAuO | PBE | relaxed

Values from the calculation:
**SG**: P4/nmm

Cell: 3.8127 3.8127 10.1774 Å, 90.00 90.00 90.00°
Closest atoms and distances in Å follow each position.
Fractional coordinates of all 8 atoms:
Au 0.7500 0.2500 0.5000  4 Au 2.70, 4 Te 2.91
Au 0.2500 0.7500 0.5000  4 Au 2.70, 4 Te 2.91
Ga 0.2500 0.2500 0.0859  4 O 2.10
Ga 0.7500 0.7500 0.9141  4 O 2.10
O 0.7500 0.2500 0.0000  4 Ga 2.10
O 0.2500 0.7500 0.0000  4 Ga 2.10
Te 0.7500 0.7500 0.2836  4 Au 2.91
Te 0.2500 0.2500 0.7164  4 Au 2.91

***

Arrangement B

GaTeAuO | PBE | relaxed

Values from the calculation:
**SG**: Pmc2_1

Cell: 4.1625 7.8694 5.5619 Å, 90.00 90.00 90.00°
Closest atoms and distances in Å follow each position.
Fractional coordinates of all 8 atoms:
Au 0.0000 0.3153 0.1213  3 Te 2.72-2.91, 2 O 2.78
Au 0.0000 0.6847 0.6213  3 Te 2.72-2.91, 2 O 2.78
Ga 0.5000 0.8898 0.0345  2 O 1.82-1.85
Ga 0.5000 0.1102 0.5345  2 O 1.82-1.85
O 0.5000 0.0885 0.2036  2 Ga 1.82-1.85
O 0.5000 0.9115 0.7036  2 Ga 1.82-1.85
Te 0.0000 0.6844 0.1316  2 Ga 2.69, 3 Au 2.72-2.91
Te 0.0000 0.3156 0.6316  2 Ga 2.69, 3 Au 2.72-2.91

***

Which structure wins on stability? arrangement B wins.